# 1
YPa3Mn4N12 | PBE | optimized geometry

```
YPa3Mn4N12
1.0
-3.882 -0.088 -5.855
1.315 -6.759 1.394
-4.416 2.060 5.061
N Mn Pa Y
12 4 3 1
Cartesian
-0.929 -6.193 0.353
-5.720 1.035 1.726
-4.385 -1.020 0.872
-5.027 -0.722 -3.681
-2.783 -2.794 4.810
-1.621 -5.419 -2.590
-3.409 -2.729 -1.401
-5.978 1.095 -1.328
-4.613 -0.332 4.236
-1.471 -4.988 3.119
-2.682 -3.434 1.430
-3.284 -3.229 -3.944
-3.735 -1.417 5.264
-0.886 -6.404 -1.367
-3.492 -2.394 0.300
-5.855 0.639 -2.996
-1.296 -2.741 3.065
-1.514 -3.128 -2.552
-4.173 1.081 0.088
0.000 0.000 0.000
```

DOS(E_F): 7.5 states/eV/cell
Crystal system: trigonal
Energy relative to the elements, uncorrected: -0.57 eV per atom
VASP energy: -9.15 eV per atom
Symmetry: No. 155
V: 15.20 Å³ per atom

=====

# 2
Tb5HoAu6 | PBE | optimized geometry

```
Tb5HoAu6
1.0
5.052 -0.324 0.828
-0.020 6.610 2.710
1.178 0.256 8.798
Ho Au Tb
1 6 5
Cartesian
0.000 0.000 0.000
4.605 0.362 3.827
2.521 1.470 1.083
3.689 5.072 11.253
4.595 3.688 5.191
1.605 6.180 8.509
1.615 2.853 7.145
2.070 2.182 4.111
2.060 5.484 5.471
4.140 4.360 8.226
4.150 1.057 6.865
-0.010 3.305 1.355
```

DOS(E_F): 6.3 states/eV/cell
Crystal system: orthorhombic
VASP energy: -4.80 eV per atom
Symmetry: No. 71
Formation energy from the elements: -0.854 eV/atom
V: 23.56 Å³ per atom

=====

# 3
ZnAsAu2 | PBE | optimized geometry

```
ZnAsAu2
1.0
-0.208 4.310 -1.251
0.314 2.572 -3.671
-5.580 0.539 -1.590
Au As Zn
2 1 1
Cartesian
-5.469 0.595 -1.607
-2.848 3.655 -3.240
-1.368 1.855 -1.628
-4.105 5.566 -4.885
```

DOS(E_F): 1.6 states/eV/cell
Crystal system: monoclinic
VASP energy: -3.11 eV per atom
E above lowest polymorph: 0 meV per atom
Symmetry: No. 12
Formation energy from the elements: 0.014 eV/atom
V: 18.18 Å³ per atom

=====

# 4
LaSmPuN3 | PBE | optimized geometry

```
LaSmPuN3
1.0
3.664 0.000 0.000
0.000 7.279 -0.326
0.000 -3.752 9.428
Pu N La Sm
2 6 2 2
Cartesian
0.916 4.267 5.341
2.748 -0.740 3.760
0.916 5.330 3.391
2.748 2.700 0.940
0.916 0.827 8.161
0.916 -2.815 8.069
2.748 -1.802 5.710
2.748 6.342 1.032
0.916 1.059 1.165
2.748 2.468 7.936
0.916 4.511 1.119
2.748 -0.984 7.982
```

DOS(E_F): 16.2 states/eV/cell
Crystal system: monoclinic
Energy relative to the elements, uncorrected: -1.13 eV per atom
VASP energy: -9.29 eV per atom
Symmetry: No. 11
V: 20.58 Å³ per atom

=====

# 5
BeRe3Br | PBE | optimized geometry

```
BeRe3Br
1.0
-1.412 -2.580 -3.079
2.776 -2.986 1.229
-2.904 -1.599 2.672
Br Be Re
1 1 3
Cartesian
-0.770 -3.583 0.411
0.000 0.000 0.000
-0.706 -1.290 -1.540
1.388 -1.493 0.615
-1.452 -0.800 1.336
```

DOS(E_F): 4.0 states/eV/cell
Crystal system: cubic
Energy relative to the elements, uncorrected: 1.65 eV per atom
VASP energy: -6.89 eV per atom
E above lowest polymorph: 0 meV per atom
Symmetry: No. 221
V: 15.44 Å³ per atom

=====

# 6
Ca2YZrCl | PBE | optimized geometry

```
Ca2YZrCl
1.0
-0.606 2.633 -4.518
-5.427 -0.676 0.334
-0.397 4.512 2.683
Y Cl Ca Zr
1 1 2 1
Cartesian
-2.713 -0.338 0.167
0.000 0.000 0.000
-0.199 2.256 1.342
-0.303 1.317 -2.259
-3.215 3.234 -0.750
```

DOS(E_F): 8.2 states/eV/cell
Crystal system: tetragonal
Energy relative to the elements, uncorrected: -0.15 eV per atom
VASP energy: -4.32 eV per atom
Symmetry: No. 123
V: 30.36 Å³ per atom

=====

# 7
Sm12Tm5Mg2 | PBE | optimized geometry

```
Sm12Tm5Mg2
1.0
-8.800 1.923 -1.583
2.665 -8.606 1.148
-1.290 0.964 8.345
Sm Tm Mg
12 5 2
Cartesian
-5.045 0.378 2.082
-5.998 -5.304 0.479
-3.428 -5.028 2.668
-3.997 -0.691 5.242
-7.421 0.057 4.626
0.577 -5.212 7.119
-2.380 -6.096 5.827
-8.002 -0.507 0.791
-0.004 -5.776 3.283
-1.427 -0.415 7.431
-2.454 -1.720 1.789
-4.971 -3.999 6.121
-5.879 -2.722 2.954
-0.645 0.482 4.172
-2.298 -3.618 8.378
-5.127 -2.101 -0.468
-1.546 -2.997 4.956
-5.857 1.280 -1.053
-2.944 0.643 -0.529
```

DOS(E_F): 30.5 states/eV/cell
Crystal system: monoclinic
VASP energy: -4.23 eV per atom
Symmetry: No. 12
Formation energy from the elements: 0.099 eV/atom
V: 32.09 Å³ per atom

=====

# 8
SrBi | PBE | optimized geometry

```
SrBi
1.0
9.436 0.000 0.000
0.000 9.436 0.000
0.000 0.000 9.436
Sr Bi
6 6
Cartesian
4.718 2.359 0.000
7.077 0.000 4.718
2.359 0.000 4.718
0.000 4.718 2.359
0.000 4.718 7.077
4.718 7.077 0.000
4.718 0.000 2.359
4.718 0.000 7.077
0.000 2.359 4.718
7.077 4.718 0.000
2.359 4.718 0.000
0.000 7.077 4.718
```

DOS(E_F): 25.4 states/eV/cell
Crystal system: cubic
VASP energy: -2.91 eV per atom
Symmetry: No. 223
Formation energy from the elements: -0.131 eV/atom
V: 70.02 Å³ per atom

=====

# 9
AcZnCd3Ag | PBE | optimized geometry

```
AcZnCd3Ag
1.0
6.370 0.000 0.000
0.000 6.946 0.000
0.000 -3.473 6.825
Ac Cd Zn Ag
2 6 2 2
Cartesian
4.778 0.000 3.846
1.593 3.473 2.980
3.185 2.037 0.000
4.778 3.473 4.859
0.000 4.909 0.000
3.185 4.909 0.000
1.593 0.000 1.966
0.000 2.037 0.000
4.778 0.000 0.789
1.593 3.473 6.036
1.593 0.000 4.768
4.778 3.473 2.057
```

DOS(E_F): 4.6 states/eV/cell
Crystal system: orthorhombic
VASP energy: -1.93 eV per atom
Symmetry: No. 63
Formation energy from the elements: -0.102 eV/atom
V: 25.17 Å³ per atom

=====

# 10
YHfMo | PBE | optimized geometry

```
YHfMo
1.0
6.263 0.000 -0.001
0.000 4.833 0.000
-5.680 0.000 8.894
Mo Hf Y
4 4 4
Cartesian
-2.045 2.416 6.616
2.951 2.416 0.151
0.111 0.000 4.598
0.795 0.000 2.169
-0.932 2.416 3.908
0.024 2.416 0.759
-3.772 0.000 8.355
-2.815 0.000 5.206
1.298 2.416 6.413
-0.704 0.000 7.686
4.138 0.000 1.966
2.136 2.416 3.239
```

DOS(E_F): 11.8 states/eV/cell
Crystal system: monoclinic
VASP energy: -8.94 eV per atom
E above lowest polymorph: 30 meV per atom
Symmetry: No. 8
Formation energy from the elements: 0.142 eV/atom
V: 22.43 Å³ per atom

=====

# 11
NaPa3Se2O6 | PBE | optimized geometry

```
NaPa3Se2O6
1.0
5.764 0.000 1.200
0.000 7.547 0.000
0.798 -3.774 6.262
O Se Pa Na
6 2 3 1
Cartesian
4.495 2.269 2.027
2.068 1.505 5.435
2.068 -1.505 5.435
2.757 0.000 2.850
4.495 5.279 2.027
3.805 3.774 4.611
5.176 0.000 4.879
1.386 3.774 2.583
0.000 3.774 0.000
3.281 1.887 3.731
3.281 -1.887 3.731
2.882 0.000 0.600
```

DOS(E_F): 0.0 states/eV/cell
Crystal system: monoclinic
Energy relative to the elements, uncorrected: -2.84 eV per atom
VASP energy: -8.38 eV per atom
Symmetry: No. 12
V: 22.10 Å³ per atom

=====

# 12
Li5HfPt6 | PBE | optimized geometry

```
Li5HfPt6
1.0
4.544 0.002 -0.452
-0.003 5.747 -0.001
-0.168 0.001 6.670
Pt Li Hf
6 5 1
Cartesian
3.736 4.284 4.053
3.737 1.468 4.053
2.271 1.491 -0.226
0.636 4.282 2.165
2.270 4.258 -0.226
0.637 1.466 2.166
2.859 5.749 1.982
-0.001 2.874 0.000
2.920 2.875 1.914
1.453 2.875 4.305
1.514 0.001 4.236
0.000 0.000 0.000
```

DOS(E_F): 3.4 states/eV/cell
Crystal system: monoclinic
VASP energy: -5.37 eV per atom
Symmetry: No. 10
Formation energy from the elements: -0.727 eV/atom
V: 14.48 Å³ per atom

=====

# 13
AlV4 | PBE | optimized geometry

```
AlV4
1.0
4.440 0.000 0.000
0.000 4.440 0.000
0.000 0.000 4.440
V Al
4 1
Cartesian
2.220 0.000 2.220
2.220 2.220 0.000
0.000 0.000 0.000
0.000 2.220 2.220
2.220 2.220 2.220
```

DOS(E_F): 8.8 states/eV/cell
Crystal system: cubic
VASP energy: -6.66 eV per atom
E above lowest polymorph: 796 meV per atom
Symmetry: No. 221
Formation energy from the elements: 1.380 eV/atom
V: 17.50 Å³ per atom

=====

# 14
Hf2ZnCl | PBE | optimized geometry

```
Hf2ZnCl
1.0
-3.990 -0.688 1.028
1.197 -3.021 2.625
-0.672 4.666 9.002
Zn Hf Cl
2 4 2
Cartesian
0.000 0.000 0.000
-3.029 1.062 5.928
-2.523 0.357 3.224
-2.945 0.247 9.954
-1.555 2.117 8.114
0.092 -0.806 4.017
-0.436 -0.105 6.726
-1.397 -1.854 1.826
```

DOS(E_F): 6.8 states/eV/cell
Crystal system: tetragonal
Energy relative to the elements, uncorrected: 0.21 eV per atom
VASP energy: -5.54 eV per atom
E above lowest polymorph: 243 meV per atom
Symmetry: No. 122
V: 21.21 Å³ per atom

=====

# 15
Ca2P2Ru | PBE | optimized geometry

```
Ca2P2Ru
1.0
-0.828 0.077 6.308
1.499 -6.178 0.272
4.323 1.073 0.554
P Ca Ru
4 4 2
Cartesian
0.997 -5.334 2.557
-0.325 -0.768 4.023
0.229 -3.839 5.647
0.442 -2.263 0.933
2.161 -0.535 2.360
3.030 -3.635 1.580
2.834 -4.493 4.774
1.964 -1.393 5.554
0.336 -3.051 3.290
0.000 0.000 0.000
```

DOS(E_F): 3.8 states/eV/cell
Crystal system: tetragonal
VASP energy: -5.62 eV per atom
E above lowest polymorph: 0 meV per atom
Symmetry: No. 127
Formation energy from the elements: -0.803 eV/atom
V: 18.17 Å³ per atom

=====

# 16
La2Sm8Ho | PBE | optimized geometry

```
La2Sm8Ho
1.0
-1.981 -4.536 -1.443
2.231 1.473 -7.692
8.217 -2.111 4.565
Sm La Ho
8 2 1
Cartesian
6.204 -5.860 0.695
4.822 -2.661 1.745
2.263 0.687 -5.265
7.158 -2.788 -1.060
6.127 -4.254 -4.247
1.310 -2.385 -3.510
3.645 -2.512 -6.315
2.341 -0.919 -0.323
3.768 -4.124 -1.416
4.700 -1.049 -3.154
-0.990 -2.268 -0.722
```

DOS(E_F): 17.8 states/eV/cell
Crystal system: monoclinic
VASP energy: -4.72 eV per atom
E above lowest polymorph: 0 meV per atom
Symmetry: No. 12
Formation energy from the elements: 0.020 eV/atom
V: 34.18 Å³ per atom

=====

# 17
BaTb3Ni | PBE | optimized geometry

```
BaTb3Ni
1.0
5.499 0.000 0.000
0.000 5.499 0.000
0.000 0.000 5.499
Tb Ba Ni
3 1 1
Cartesian
2.749 0.000 0.000
0.000 0.000 2.749
0.000 2.749 0.000
2.749 2.749 2.749
0.000 0.000 0.000
```

DOS(E_F): 9.5 states/eV/cell
Crystal system: cubic
VASP energy: -4.34 eV per atom
Symmetry: No. 221
Formation energy from the elements: -0.018 eV/atom
V: 33.25 Å³ per atom

=====

# 18
Mg3AlV | PBE | optimized geometry

```
Mg3AlV
1.0
-4.822 0.715 1.883
-0.075 -4.946 1.685
2.013 1.528 4.574
Mg V Al
3 1 1
Cartesian
1.006 0.764 2.287
-0.038 -2.473 0.843
-2.411 0.357 0.942
0.000 0.000 0.000
-1.442 -1.352 4.071
```

DOS(E_F): 3.1 states/eV/cell
Crystal system: cubic
VASP energy: -2.55 eV per atom
E above lowest polymorph: 99 meV per atom
Symmetry: No. 221
Formation energy from the elements: 0.979 eV/atom
V: 28.55 Å³ per atom

=====

# 19
Tb2HoBe | PBE | optimized geometry

```
Tb2HoBe
1.0
-0.332 0.081 3.466
-1.649 -3.066 -0.087
7.453 -4.032 0.807
Tb Ho Be
2 1 1
Cartesian
1.451 -0.785 0.157
6.002 -3.247 0.650
2.736 -3.509 2.093
-0.991 -1.493 1.690
```

DOS(E_F): 4.3 states/eV/cell
Crystal system: tetragonal
VASP energy: -4.31 eV per atom
E above lowest polymorph: 0 meV per atom
Symmetry: No. 123
Formation energy from the elements: 0.078 eV/atom
V: 25.81 Å³ per atom

=====

# 20
BaScHg2 | PBE | optimized geometry

```
BaScHg2
1.0
6.565 0.006 0.005
3.159 5.755 -0.005
-4.234 -3.942 3.105
Ba Hg Sc
1 2 1
Cartesian
1.852 2.323 1.550
3.538 -0.562 1.555
9.492 5.624 0.000
5.196 3.079 0.000
```

DOS(E_F): 2.8 states/eV/cell
Crystal system: orthorhombic
VASP energy: -2.37 eV per atom
Symmetry: No. 44
Formation energy from the elements: -0.153 eV/atom
V: 29.30 Å³ per atom

=====

# 21
CePaB4 | PBE | optimized geometry

```
CePaB4
1.0
4.736 0.000 0.000
2.368 4.102 0.000
2.368 1.367 3.867
B Ce Pa
4 1 1
Cartesian
6.222 3.592 2.540
4.736 1.019 2.540
3.250 3.592 2.540
4.736 2.734 0.114
0.000 0.000 0.000
2.368 1.367 0.967
```

DOS(E_F): 5.8 states/eV/cell
Crystal system: cubic
VASP energy: -6.84 eV per atom
E above lowest polymorph: 758 meV per atom
Symmetry: No. 216
Formation energy from the elements: 0.184 eV/atom
V: 12.52 Å³ per atom

=====

# 22
RbHfSc | PBE | optimized geometry

```
RbHfSc
1.0
-2.732 -1.571 -3.740
4.878 -0.145 -0.305
-0.250 -12.535 2.297
Hf Sc Rb
2 2 2
Cartesian
1.054 -2.976 -0.354
-1.478 -2.215 -2.021
0.859 -4.046 -2.960
3.391 -4.968 -1.225
-1.691 -8.524 -2.415
0.816 -11.736 0.350
```

DOS(E_F): 6.2 states/eV/cell
Crystal system: triclinic
VASP energy: -5.25 eV per atom
E above lowest polymorph: 125 meV per atom
Symmetry: No. 1
Formation energy from the elements: 0.498 eV/atom
V: 42.95 Å³ per atom

=====

# 23
AcPm2Tl3Se6 | PBE | optimized geometry

```
AcPm2Tl3Se6
1.0
7.602 0.003 0.001
-3.797 6.586 0.001
-1.268 -2.196 7.736
Ac Se Pm Tl
1 6 2 3
Cartesian
0.000 0.000 0.000
0.050 0.086 6.110
-1.315 2.282 1.648
3.852 2.110 6.090
-0.097 4.391 6.090
2.487 4.307 1.628
2.634 0.002 1.648
3.802 2.197 0.001
0.003 4.391 0.001
-2.545 4.399 3.869
1.269 2.196 3.869
5.082 -0.006 3.869
```

DOS(E_F): 0.0 states/eV/cell
Crystal system: monoclinic
Energy relative to the elements, uncorrected: -1.40 eV per atom
VASP energy: -4.87 eV per atom
Symmetry: No. 12
V: 32.29 Å³ per atom

=====

M_tot values (in μB per formula unit) by entry order: 10.0 0.0 0.0 4.9 0.0 2.5 0.0 0.9 0.0 0.0 0.0 0.0 1.0 0.0 0.0 0.0 0.0 4.3 0.0 0.0 0.0 0.0 0.0.